The following is a DFT calculation (PBE) of Mg2AsOs2 after structural relaxation.

Cell and atoms, written as extended XYZ:
```
5
Lattice="-1.031 -1.555 -2.955 3.314 -0.852 -0.708 0.216 -8.083 2.111" Properties=species:S:1:pos:R:3 pbc="T T T"
As 0.000 0.000 0.000
Os 0.163 -5.421 -1.338
Os 2.336 -5.069 -0.214
Mg 0.949 -2.635 -1.011
Mg 1.551 -7.855 -0.541
```

Computed properties:
- symmetry = I4/mmm (139)
- polymorph energy (0 for the lowest one) (kcal/mol of atoms) = 0.000



The following is a DFT calculation (PBE) of PuBiF after structural relaxation.

Cell and atoms, written as extended XYZ:
```
3
Lattice="5.030 0.000 0.000 0.000 4.075 0.000 0.000 -2.038 3.529" Properties=species:S:1:pos:R:3 pbc="T T T"
F 0.836 0.000 2.353
Bi 3.353 2.038 1.176
Pu 0.840 0.000 0.000
```

Computed properties:
- symmetry = P-6m2 (187)
- polymorph energy (0 for the lowest one) (kcal/mol of atoms) = 0.248



The following is a DFT calculation (PBE) of AcSiAg after structural relaxation.

Cell and atoms, written as extended XYZ:
```
3
Lattice="-1.672 -4.096 -0.051 2.689 -1.140 3.416 -4.094 1.661 0.822" Properties=species:S:1:pos:R:3 pbc="T T T"
Ac -2.948 -2.004 1.652
Si -0.278 -0.682 -0.008
Ag 0.149 -0.889 2.542
```

Computed properties:
- symmetry = P-6m2 (187)
- polymorph energy (0 for the lowest one) (kcal/mol of atoms) = 0.757



The following is a DFT calculation (PBE) of IrCl3 after structural relaxation.

Cell and atoms, written as extended XYZ:
```
8
Lattice="6.144 0.000 -0.009 -3.070 5.322 -0.009 0.984 1.704 6.367" Properties=species:S:1:pos:R:3 pbc="T T T"
Ir -1.534 4.435 -0.009
Ir 4.608 0.887 -0.009
Cl 2.626 0.778 1.287
Cl 4.696 4.361 5.063
Cl 1.430 2.476 5.071
Cl 2.628 4.549 1.279
Cl -0.638 2.664 1.287
Cl 1.431 6.247 5.063
```

Computed properties:
- symmetry = C2/m (12)
- calculated total energy (eV/f.u.) = -16.3